1.
A plane-wave DFT calculation with GGA-PBE was carried out for a relaxed TmMgAgOs crystal.

Geometry as POSCAR:
```
TmMgAgOs
1.0
4.739 0.000 0.000
2.369 4.104 0.000
2.369 1.368 3.869
Mg Tm Os Ag
1 1 1 1
direct
0.500 0.500 0.500
0.000 0.000 0.000
0.750 0.750 0.750
0.250 0.250 0.250
```

Properties
SG = No. 216
VASP energy = -5.106 eV per atom


2.
A plane-wave DFT calculation with GGA-PBE was carried out for a relaxed SrMg2AlAg2 crystal.

Geometry as POSCAR:
```
SrMg2AlAg2
1.0
4.923 0.000 0.000
0.000 4.923 0.000
0.000 0.000 6.412
Sr Mg Al Ag
1 2 1 2
direct
0.000 0.000 0.500
0.500 0.500 0.745
0.500 0.500 0.255
0.000 0.000 0.000
0.500 0.000 0.000
0.000 0.500 0.000
```

Properties
SG = No. 123
VASP energy = -2.436 eV per atom


3.
A plane-wave DFT calculation with GGA-PBE was carried out for a relaxed La14CeSm crystal.

Geometry as POSCAR:
```
La14CeSm
1.0
7.332 0.984 0.000
-0.984 7.332 0.000
0.000 0.000 10.484
La Ce Sm
14 1 1
direct
0.375 0.625 0.500
0.875 0.125 0.500
0.874 0.624 0.000
0.876 0.626 0.500
0.376 0.126 0.000
0.374 0.124 0.500
0.629 0.879 0.755
0.629 0.879 0.245
0.121 0.371 0.755
0.121 0.371 0.245
0.121 0.879 0.755
0.121 0.879 0.245
0.629 0.371 0.754
0.629 0.371 0.246
0.875 0.125 0.000
0.375 0.625 0.000
```

Properties
SG = No. 38
VASP energy = -4.957 eV per atom


4.
A plane-wave DFT calculation with GGA-PBE was carried out for a relaxed Pm4Tm6Pu crystal.

Geometry as POSCAR:
```
Pm4Tm6Pu
1.0
3.146 2.642 -8.648
-6.364 -5.951 3.969
-6.118 2.909 6.765
Pm Tm Pu
4 6 1
direct
0.000 0.639 0.015
0.376 0.361 0.361
0.000 0.015 0.639
0.624 0.985 0.985
0.000 0.806 0.445
0.000 0.445 0.806
0.361 0.555 0.555
0.500 0.500 0.000
0.639 0.194 0.194
0.500 0.000 0.500
0.000 0.000 0.000
```

Properties
SG = No. 121
VASP energy = -5.155 eV per atom


5.
A plane-wave DFT calculation with GGA-PBE was carried out for a relaxed CaNd4Tm crystal.

Geometry as POSCAR:
```
CaNd4Tm
1.0
3.691 0.000 0.000
0.000 3.691 0.000
-0.001 -0.001 15.564
Ca Nd Tm
1 4 1
direct
0.000 0.000 0.000
0.500 0.500 0.818
0.500 0.500 0.182
0.000 0.000 0.659
0.000 0.000 0.341
0.500 0.500 0.500
```

Properties
SG = No. 123
VASP energy = -4.222 eV per atom


6.
A plane-wave DFT calculation with GGA-PBE was carried out for a relaxed Ac2Mg4AlSn3 crystal.

Geometry as POSCAR:
```
Ac2Mg4AlSn3
1.0
-3.440 0.985 -3.158
0.339 -4.427 -1.750
-8.230 -3.716 7.808
Ac Mg Al Sn
2 4 1 3
direct
0.500 0.000 0.266
0.000 0.500 0.734
0.500 0.500 0.000
0.000 0.000 0.000
0.500 0.000 0.626
0.000 0.500 0.374
0.500 0.500 0.500
0.000 0.000 0.500
0.500 0.000 0.857
0.000 0.500 0.143
```

Properties
SG = No. 115
VASP energy = -3.440 eV per atom


7.
A plane-wave DFT calculation with GGA-PBE was carried out for a relaxed ScCdAs2 crystal.

Geometry as POSCAR:
```
ScCdAs2
1.0
-3.837 -0.928 3.144
-4.281 -2.665 0.190
1.830 -4.614 2.437
As Cd Sc
2 1 1
direct
0.983 0.983 0.081
0.517 0.517 0.419
0.750 0.750 0.750
0.250 0.250 0.250
```

Properties
SG = No. 12
VASP energy = -4.456 eV per atom


8.
A plane-wave DFT calculation with GGA-PBE was carried out for a relaxed Dy2Ga4NiRu3 crystal.

Geometry as POSCAR:
```
Dy2Ga4NiRu3
1.0
-0.883 -1.861 -3.522
-1.569 -3.154 2.060
-9.536 4.689 -0.086
Dy Ga Ni Ru
2 4 1 3
direct
0.500 0.000 0.256
0.000 0.500 0.744
0.500 0.500 0.000
0.000 0.000 0.000
0.500 0.000 0.627
0.000 0.500 0.373
0.500 0.500 0.500
0.000 0.000 0.500
0.500 0.000 0.860
0.000 0.500 0.140
```

Properties
SG = No. 115
VASP energy = -5.941 eV per atom